1.
A geometry-optimized MgSi2 structure, computed with PBE.

Output
Mass density, g/cm³: 2.20
Energy relative to the lowest polymorph listed for this composition, meV/atom: 41
SG: Cm (8)
Uncorrected formation energy, eV per atom: 0.06

Unit cell a=12.309 b=12.309 c=5.434 alpha=102.52 beta=102.52 gamma=17.59
Positions (direct):
1 Mg 0.000 0.000 0.000
2 Mg 0.076 0.076 0.561
3 Mg 0.386 0.386 0.643
4 Mg 0.773 0.773 0.294
5 Si 0.116 0.116 0.130
6 Si 0.202 0.202 0.441
7 Si 0.342 0.342 0.101
8 Si 0.441 0.441 0.218
9 Si 0.630 0.630 0.892
10 Si 0.711 0.711 0.712
11 Si 0.812 0.812 0.834
12 Si 0.963 0.963 0.494

2.
A geometry-optimized MgSi2 structure, computed with PBE.

Output
Mass density, g/cm³: 2.56
Energy relative to the lowest polymorph listed for this composition, meV/atom: 93
SG: Pmc2_1 (26)
Uncorrected formation energy, eV per atom: 0.12

Unit cell a=5.877 b=7.575 c=9.362 alpha=90.00 beta=90.00 gamma=90.00
Positions (direct):
1 Mg 0.000 0.017 0.000
2 Mg 0.000 0.478 0.688
3 Mg 0.000 0.522 0.188
4 Mg 0.000 0.983 0.500
5 Mg 0.500 0.059 0.474
6 Mg 0.500 0.407 0.662
7 Mg 0.500 0.593 0.162
8 Mg 0.500 0.941 0.974
9 Si 0.203 0.350 0.423
10 Si 0.203 0.650 0.923
11 Si 0.209 0.121 0.748
12 Si 0.209 0.879 0.248
13 Si 0.294 0.333 0.944
14 Si 0.294 0.667 0.444
15 Si 0.297 0.199 0.198
16 Si 0.297 0.801 0.698
17 Si 0.703 0.199 0.198
18 Si 0.703 0.801 0.698
19 Si 0.706 0.333 0.944
20 Si 0.706 0.667 0.444
21 Si 0.791 0.121 0.748
22 Si 0.791 0.879 0.248
23 Si 0.797 0.350 0.423
24 Si 0.797 0.650 0.923

3.
A geometry-optimized MgSi2 structure, computed with PBE.

Output
Mass density, g/cm³: 2.44
Energy relative to the lowest polymorph listed for this composition, meV/atom: 84
SG: C2/m (12)
Uncorrected formation energy, eV per atom: 0.11

Unit cell a=6.009 b=6.009 c=10.337 alpha=90.09 beta=90.09 gamma=35.94
Positions (direct):
1 Mg 0.000 0.000 0.000
2 Mg 0.162 0.162 0.282
3 Mg 0.500 0.500 0.500
4 Mg 0.838 0.838 0.718
5 Si 0.139 0.139 0.764
6 Si 0.194 0.194 0.541
7 Si 0.284 0.284 0.937
8 Si 0.493 0.493 0.214
9 Si 0.507 0.507 0.786
10 Si 0.716 0.716 0.063
11 Si 0.806 0.806 0.459
12 Si 0.861 0.861 0.236

4.
A geometry-optimized Mg5Si9 structure, computed with PBE.

Output
Mass density, g/cm³: 2.32
Energy relative to the lowest polymorph listed for this composition, meV/atom: 14
SG: P1 (1)
Uncorrected formation energy, eV per atom: 0.11

Unit cell a=6.969 b=7.261 c=11.816 alpha=88.15 beta=83.04 gamma=64.77
Positions (direct):
1 Mg 0.000 0.000 0.000
2 Mg 0.020 0.147 0.707
3 Mg 0.067 0.719 0.780
4 Mg 0.115 0.465 0.551
5 Mg 0.283 0.528 0.044
6 Mg 0.352 0.824 0.212
7 Mg 0.520 0.502 0.604
8 Mg 0.692 0.932 0.616
9 Mg 0.735 0.977 0.244
10 Mg 0.921 0.180 0.418
11 Si 0.041 0.382 0.921
12 Si 0.065 0.745 0.371
13 Si 0.165 0.255 0.247
14 Si 0.170 0.847 0.540
15 Si 0.262 0.151 0.055
16 Si 0.303 0.296 0.753
17 Si 0.361 0.423 0.302
18 Si 0.444 0.706 0.851
19 Si 0.448 0.918 0.427
20 Si 0.516 0.210 0.455
21 Si 0.563 0.911 0.948
22 Si 0.645 0.349 0.146
23 Si 0.661 0.126 0.821
24 Si 0.689 0.390 0.928
25 Si 0.780 0.570 0.725
26 Si 0.785 0.619 0.405
27 Si 0.836 0.522 0.206
28 Si 0.863 0.709 0.040

5.
A geometry-optimized Mg6Si5 structure, computed with PBE.

Output
Mass density, g/cm³: 2.24
Energy relative to the lowest polymorph listed for this composition, meV/atom: 21
SG: P1 (1)
Uncorrected formation energy, eV per atom: 0.02

Unit cell a=4.293 b=6.988 c=14.327 alpha=98.72 beta=90.34 gamma=90.94
Positions (direct):
1 Mg 0.000 0.000 0.000
2 Mg 0.000 0.108 0.338
3 Mg 0.015 0.607 0.416
4 Mg 0.023 0.305 0.576
5 Mg 0.490 0.789 0.837
6 Mg 0.494 0.380 0.060
7 Mg 0.499 0.029 0.168
8 Mg 0.502 0.438 0.277
9 Mg 0.519 0.606 0.622
10 Mg 0.532 0.063 0.676
11 Mg 0.977 0.535 0.927
12 Mg 0.996 0.695 0.173
13 Si 0.005 0.914 0.548
14 Si 0.016 0.804 0.703
15 Si 0.033 0.099 0.816
16 Si 0.303 0.391 0.770
17 Si 0.490 0.826 0.311
18 Si 0.491 0.744 0.025
19 Si 0.507 0.008 0.469
20 Si 0.513 0.353 0.454
21 Si 0.546 0.201 0.883
22 Si 0.999 0.285 0.168

6.
A geometry-optimized Mg5Si9 structure, computed with PBE.

Output
Mass density, g/cm³: 2.41
Energy relative to the lowest polymorph listed for this composition, meV/atom: 46
SG: P1 (1)
Uncorrected formation energy, eV per atom: 0.14

Unit cell a=5.796 b=7.279 c=13.365 alpha=80.05 beta=85.87 gamma=68.50
Positions (direct):
1 Mg 0.000 0.000 0.000
2 Mg 0.014 0.126 0.470
3 Mg 0.076 0.396 0.621
4 Mg 0.217 0.648 0.214
5 Mg 0.486 0.035 0.956
6 Mg 0.538 0.281 0.119
7 Mg 0.626 0.681 0.741
8 Mg 0.710 0.853 0.472
9 Mg 0.795 0.480 0.233
10 Mg 0.963 0.580 0.008
11 Si 0.070 0.492 0.403
12 Si 0.108 0.199 0.129
13 Si 0.163 0.596 0.797
14 Si 0.196 0.043 0.798
15 Si 0.212 0.716 0.616
16 Si 0.230 0.780 0.397
17 Si 0.334 0.005 0.625
18 Si 0.383 0.002 0.271
19 Si 0.441 0.663 0.028
20 Si 0.506 0.253 0.344
21 Si 0.533 0.428 0.909
22 Si 0.595 0.417 0.608
23 Si 0.631 0.501 0.429
24 Si 0.726 0.053 0.640
25 Si 0.734 0.869 0.159
26 Si 0.866 0.920 0.818
27 Si 0.901 0.036 0.267
28 Si 0.968 0.357 0.849

7.
A geometry-optimized MgSi2 structure, computed with PBE.

Output
Mass density, g/cm³: 2.30
Energy relative to the lowest polymorph listed for this composition, meV/atom: 0
SG: R-3m (166)
Uncorrected formation energy, eV per atom: 0.02

Unit cell a=5.256 b=5.256 c=5.256 alpha=41.76 beta=41.76 gamma=41.76
Positions (direct):
1 Mg 0.000 0.000 0.000
2 Si 0.202 0.202 0.202
3 Si 0.798 0.798 0.798

8.
A geometry-optimized Mg5Si9 structure, computed with PBE.

Output
Mass density, g/cm³: 2.46
Energy relative to the lowest polymorph listed for this composition, meV/atom: 40
SG: P1 (1)
Uncorrected formation energy, eV per atom: 0.14

Unit cell a=6.242 b=7.374 c=12.196 alpha=90.81 beta=103.61 gamma=111.08
Positions (direct):
1 Mg 0.000 0.000 0.000
2 Mg 0.001 0.149 0.446
3 Mg 0.286 0.936 0.596
4 Mg 0.293 0.377 0.213
5 Mg 0.322 0.616 0.432
6 Mg 0.566 0.246 0.465
7 Mg 0.617 0.615 0.847
8 Mg 0.746 0.304 0.034
9 Mg 0.816 0.664 0.407
10 Mg 0.847 0.276 0.745
11 Si 0.007 0.616 0.207
12 Si 0.057 0.501 0.590
13 Si 0.071 0.594 0.935
14 Si 0.179 0.710 0.765
15 Si 0.180 0.928 0.337
16 Si 0.298 0.389 0.986
17 Si 0.311 0.210 0.824
18 Si 0.355 0.334 0.640
19 Si 0.401 0.046 0.185
20 Si 0.423 0.888 0.015
21 Si 0.523 0.784 0.243
22 Si 0.552 0.012 0.848
23 Si 0.660 0.686 0.087
24 Si 0.702 0.592 0.616
25 Si 0.717 0.931 0.572
26 Si 0.781 0.315 0.280
27 Si 0.890 0.043 0.211
28 Si 0.938 0.907 0.758

9.
A geometry-optimized Mg5Si9 structure, computed with PBE.

Output
Mass density, g/cm³: 2.30
Energy relative to the lowest polymorph listed for this composition, meV/atom: 38
SG: P1 (1)
Uncorrected formation energy, eV per atom: 0.14

Unit cell a=5.955 b=7.466 c=13.211 alpha=86.10 beta=77.49 gamma=70.49
Positions (direct):
1 Mg 0.000 0.000 0.000
2 Mg 0.005 0.384 0.503
3 Mg 0.156 0.925 0.492
4 Mg 0.314 0.514 0.310
5 Mg 0.375 0.900 0.787
6 Mg 0.470 0.845 0.169
7 Mg 0.482 0.449 0.810
8 Mg 0.494 0.070 0.959
9 Mg 0.631 0.097 0.381
10 Mg 0.816 0.482 0.313
11 Si 0.041 0.353 0.715
12 Si 0.120 0.293 0.882
13 Si 0.152 0.591 0.082
14 Si 0.221 0.168 0.307
15 Si 0.365 0.634 0.629
16 Si 0.382 0.274 0.133
17 Si 0.462 0.703 0.968
18 Si 0.466 0.183 0.618
19 Si 0.517 0.418 0.487
20 Si 0.603 0.844 0.574
21 Si 0.702 0.382 0.149
22 Si 0.848 0.137 0.670
23 Si 0.858 0.527 0.001
24 Si 0.897 0.914 0.809
25 Si 0.902 0.813 0.225
26 Si 0.910 0.750 0.412
27 Si 0.929 0.696 0.677
28 Si 0.986 0.102 0.199

10.
A geometry-optimized MgSi2 structure, computed with PBE.

Output
Mass density, g/cm³: 2.55
Energy relative to the lowest polymorph listed for this composition, meV/atom: 136
SG: P1 (1)
Uncorrected formation energy, eV per atom: 0.16

Unit cell a=5.374 b=5.732 c=7.829 alpha=89.66 beta=80.50 gamma=62.16
Positions (direct):
1 Mg 0.000 0.000 0.000
2 Mg 0.003 0.628 0.708
3 Mg 0.417 0.464 0.289
4 Mg 0.841 0.925 0.377
5 Si 0.336 0.249 0.998
6 Si 0.349 0.993 0.260
7 Si 0.425 0.768 0.568
8 Si 0.459 0.132 0.693
9 Si 0.555 0.529 0.888
10 Si 0.837 0.605 0.081
11 Si 0.908 0.403 0.398
12 Si 0.913 0.169 0.665

11.
A geometry-optimized MgSi2 structure, computed with PBE.

Output
Mass density, g/cm³: 2.53
Energy relative to the lowest polymorph listed for this composition, meV/atom: 180
SG: P-1 (2)
Uncorrected formation energy, eV per atom: 0.20

Unit cell a=3.526 b=4.713 c=13.737 alpha=87.77 beta=82.80 gamma=68.81
Positions (direct):
1 Mg 0.000 0.000 0.000
2 Mg 0.000 0.500 0.500
3 Mg 0.323 0.184 0.180
4 Mg 0.677 0.816 0.820
5 Si 0.010 0.237 0.716
6 Si 0.311 0.436 0.939
7 Si 0.341 0.949 0.399
8 Si 0.345 0.634 0.660
9 Si 0.655 0.366 0.340
10 Si 0.659 0.051 0.601
11 Si 0.689 0.564 0.061
12 Si 0.990 0.763 0.284

12.
A geometry-optimized MgSi2 structure, computed with PBE.

Output
Mass density, g/cm³: 2.29
Energy relative to the lowest polymorph listed for this composition, meV/atom: 102
SG: P1 (1)
Uncorrected formation energy, eV per atom: 0.13

Unit cell a=6.605 b=6.714 c=10.611 alpha=89.22 beta=83.50 gamma=89.88
Positions (direct):
1 Mg 0.000 0.000 0.000
2 Mg 0.035 0.270 0.738
3 Mg 0.360 0.581 0.879
4 Mg 0.401 0.136 0.568
5 Mg 0.501 0.614 0.292
6 Mg 0.610 0.265 0.113
7 Mg 0.863 0.670 0.809
8 Mg 0.939 0.721 0.289
9 Si 0.000 0.400 0.987
10 Si 0.102 0.820 0.546
11 Si 0.127 0.323 0.340
12 Si 0.203 0.908 0.756
13 Si 0.230 0.490 0.523
14 Si 0.238 0.468 0.135
15 Si 0.263 0.984 0.343
16 Si 0.276 0.833 0.131
17 Si 0.571 0.980 0.768
18 Si 0.584 0.909 0.991
19 Si 0.603 0.496 0.548
20 Si 0.631 0.339 0.750
21 Si 0.635 0.987 0.369
22 Si 0.728 0.828 0.568
23 Si 0.758 0.324 0.362
24 Si 0.773 0.648 0.074